ReTe2PtCl GGA-PBE relaxed; uncorrected energy = -4.19 eV per atom; total magnetization = 4.089 Bohr magnetons per cell
1.0
-2.864 -4.285 -1.021
4.234 -2.278 -2.316
1.424 -2.053 4.622
Re Te Cl Pt
1 2 1 1
Direct
0.000 0.500 0.000 Re
0.000 0.000 0.500 Te
0.500 0.000 0.000 Te
0.500 0.500 0.500 Cl
0.000 0.000 0.000 Pt

=====

Be2B GGA-PBE relaxed; ΔE to the lowest computed polymorph = 70 meV per atom; uncorrected energy = -4.66 eV per atom; ΔE_f = 0.05 eV/atom; total magnetization = 0.000 Bohr magnetons per cell
1.0
-1.392 0.224 2.797
-0.079 -3.296 -1.517
4.762 -0.183 0.623
Be B
4 2
Direct
0.405 0.703 0.609 Be
0.595 0.297 0.391 Be
0.289 0.189 0.886 Be
0.711 0.811 0.114 Be
0.055 0.433 0.179 B
0.945 0.567 0.821 B